Entry from OQMD: crystalline BeGaHgAu at its relaxed geometry (GGA-PBE).

The structure in POSCAR format:
```
BeGaHgAu
1.0
0.0000 3.2507 3.2507
3.2507 0.0000 3.2507
3.2507 3.2507 0.0000
Au Be Ga Hg
1 1 1 1
direct
0.7500 0.7500 0.7500
0.5000 0.5000 0.5000
0.0000 0.0000 0.0000
0.2500 0.2500 0.2500
```

The electronic total energy comes out at -0.1683 Ry per atom. Its energy above the lowest structure with this stoichiometry is 0.000 eV/atom.